[1]
DFT (PBE) results for a geometry-optimized Ta3Cr structure.

Cell: 2.8980 2.8980 9.6325 Å, 90.00 90.00 120.00°
Each line ends with the local moment (μB).
Atoms (fractional coordinates):
Ta 0.3333 0.6667 0.7655  -0.02
Ta 0.0000 0.0000 0.5000  0.04
Ta 0.3333 0.6667 0.2345  -0.02
Cr 0.0000 0.0000 0.0000  2.38

Results
- total magnetic moment (μB/f.u.) = 2.583
- DOS(E_F) (states/eV per atom) = 1.2571
- formation enthalpy at 0 K (eV/atom) = 0.3872

=====

[2]
DFT (PBE) results for a geometry-optimized TiIrRh2Au structure.

Cell: 4.3970 4.8348 4.3970 Å, 90.00 90.00 90.00°
Atoms (fractional coordinates):
Rh 0.5000 0.0000 0.0000
Rh 0.0000 0.0000 0.5000
Ir 0.5000 0.5000 0.5000
Ti 0.0000 0.0000 0.0000
Au 0.0000 0.5000 0.0000

Results
- total magnetic moment (μB/f.u.) = 0.000
- distance to the lowest polymorph of the same formula (meV/atom) = 172
- DOS(E_F) (states/eV per atom) = 1.0013
- formation enthalpy at 0 K (eV/atom) = 1.0453

=====

[3]
DFT (PBE) results for a geometry-optimized HfZr2Hg structure.

Cell: 4.1684 3.2481 6.5363 Å, 90.01 90.00 90.00°
Atoms (fractional coordinates):
Zr 0.0000 0.0000 0.7525
Zr 0.0000 0.0000 0.2475
Hf 0.5000 0.5000 0.0000
Hg 0.5000 0.5000 0.5000

Results
- total magnetic moment (μB/f.u.) = 0.000
- DOS(E_F) (states/eV per atom) = 1.0650
- formation enthalpy at 0 K (eV/atom) = -0.0875

=====

[4]
DFT (PBE) results for a geometry-optimized Ce3Pm4DyTe8 structure.

Cell: 8.9073 8.9366 8.9072 Å, 119.89 120.00 90.00°
Each line ends with the local moment (μB).
Atoms (fractional coordinates):
Pm 0.5000 0.0000 0.5000  0.01
Pm 0.0000 0.0000 0.5000  0.01
Pm 0.0000 0.0000 0.0000  0.01
Pm 0.5000 0.0000 0.0000  0.04
Te 0.2494 0.2483 0.4989  -0.01
Te 0.7532 0.2523 0.9990  -0.01
Te 0.2468 0.7477 0.0010  -0.01
Te 0.2468 0.7477 0.4935  -0.01
Te 0.7506 0.7517 0.5011  -0.01
Te 0.2458 0.2523 0.9990  -0.01
Te 0.7532 0.2523 0.5065  -0.01
Te 0.7542 0.7477 0.0010  -0.01
Ce 0.0000 0.5000 0.5000  0.94
Ce 0.5000 0.5000 0.0000  0.94
Ce 0.5000 0.5000 0.5000  0.94
Dy 0.0000 0.5000 0.0000  0.04

Results
- total magnetic moment (μB/f.u.) = 3.550
- DOS(E_F) (states/eV per atom) = 1.6399
- formation energy without anion corrections (eV per atom) = -1.381

=====

[5]
DFT (PBE) results for a geometry-optimized Ce4Cu3Au structure.

Cell: 3.6889 4.4483 11.3762 Å, 90.00 90.00 90.00°
Each line ends with the local moment (μB).
Atoms (fractional coordinates):
Ce 0.5000 0.5000 0.3617  0.79
Ce 0.5000 0.0000 0.6451  0.75
Ce 0.0000 0.5000 0.8468  0.74
Ce 0.0000 0.0000 0.1509  0.79
Cu 0.0000 0.5000 0.5660  0.01
Cu 0.5000 0.0000 0.9238  0.01
Cu 0.0000 0.0000 0.4373  0.01
Au 0.5000 0.5000 0.0684  0.00

Results
- total magnetic moment (μB/f.u.) = 4.050
- DOS(E_F) (states/eV per atom) = 2.6013
- formation enthalpy at 0 K (eV/atom) = -0.1824

=====

[6]
DFT (PBE) results for a geometry-optimized HfPaFe structure.

Cell: 3.1503 3.1503 6.2836 Å, 104.52 104.52 90.00°
Each line ends with the local moment (μB).
Atoms (fractional coordinates):
Fe 0.6718 0.6718 0.3437  0.86
Hf 0.3043 0.3043 0.6085  0.00
Pa 0.0239 0.0239 0.0478  -0.08

Results
- total magnetic moment (μB/f.u.) = 0.813
- DOS(E_F) (states/eV per atom) = 1.9043
- formation enthalpy at 0 K (eV/atom) = -0.0204

=====

[7]
DFT (PBE) results for a geometry-optimized UHPt structure.

Cell: 3.8855 3.7779 3.7779 Å, 120.00 90.00 90.00°
Each line ends with the local moment (μB).
Atoms (fractional coordinates):
Pt 0.6667 0.3333 0.6667  -0.04
H 0.1666 0.0000 0.0000  -0.01
U 0.1667 0.6667 0.3333  1.86

Results
- total magnetic moment (μB/f.u.) = 2.013
- distance to the lowest polymorph of the same formula (meV/atom) = 3
- DOS(E_F) (states/eV per atom) = 2.1975

=====

[8]
DFT (PBE) results for a geometry-optimized Ac3Ga2Pd4 structure.

Cell: 4.5564 4.5564 25.3081 Å, 90.00 90.00 120.00°
Atoms (fractional coordinates):
Pd 0.6667 0.3333 0.9951
Pd 0.0000 0.0000 0.3402
Pd 0.6667 0.3333 0.5028
Pd 0.0000 0.0000 0.9925
Pd 0.6667 0.3333 0.8306
Pd 0.6667 0.3333 0.3390
Pd 0.0000 0.0000 0.6667
Pd 0.6667 0.3333 0.6664
Ga 0.0000 0.0000 0.1748
Ga 0.0000 0.0000 0.5027
Ga 0.6667 0.3333 0.1590
Ga 0.0000 0.0000 0.8304
Ac 0.3333 0.6667 0.0736
Ac 0.3333 0.6667 0.2600
Ac 0.3333 0.6667 0.4182
Ac 0.3333 0.6667 0.5874
Ac 0.3333 0.6667 0.7456
Ac 0.3333 0.6667 0.9151

Results
- total magnetic moment (μB/f.u.) = 0.000
- distance to the lowest polymorph of the same formula (meV/atom) = 73
- DOS(E_F) (states/eV per atom) = 0.5208
- formation enthalpy at 0 K (eV/atom) = -0.7425